[1]
The following is a PBE with a Hubbard U calculation of HgMoIO6 after structural relaxation, from Alexandria.

a b c (Å): 5.513 5.540 5.693
angles (deg): 72.68 62.50 82.09
Fractional coordinates of all 9 atoms:
Hg1 0.000 0.000 0.000
Mo1 0.674 0.462 0.631
I1 0.385 0.494 0.272
O1 0.004 0.286 0.672
O2 0.013 0.706 0.318
O3 0.418 0.263 0.920
O4 0.433 0.700 0.461
O5 0.612 0.686 0.912
O6 0.688 0.300 0.350

## Properties
* space group: P1
* total DFT energy (no corrections): -0.186 hartree per atom

[2]
The following is a PBE with a Hubbard U calculation of HgMoIO2 after structural relaxation, from Alexandria.

a b c (Å): 4.260 4.260 6.682
angles (deg): 90.00 90.00 90.00
Fractional coordinates of all 5 atoms:
Hg1 0.000 0.000 0.000
Mo1 0.500 0.500 0.500
I1 0.000 0.000 0.500
O1 0.000 0.500 0.000
O2 0.500 0.000 0.000

## Properties
* space group: P4/mmm
* total DFT energy (no corrections): -0.117 hartree per atom
* energy relative to the lowest polymorph listed for this composition: 1154 meV/atom

[3]
The following is a PBE with a Hubbard U calculation of HgMoIO4 after structural relaxation, from Alexandria.

a b c (Å): 7.021 7.021 7.691
angles (deg): 105.69 105.69 52.91
Fractional coordinates of all 14 atoms:
Hg1 0.183 0.183 0.253
Hg2 0.817 0.817 0.747
Mo1 0.113 0.113 0.700
Mo2 0.887 0.887 0.300
I1 0.452 0.452 0.820
I2 0.548 0.548 0.180
O1 0.047 0.047 0.381
O2 0.055 0.580 0.338
O3 0.135 0.135 0.941
O4 0.420 0.945 0.662
O5 0.580 0.055 0.338
O6 0.865 0.865 0.059
O7 0.945 0.420 0.662
O8 0.953 0.953 0.619

## Properties
* space group: C2/m
* total DFT energy (no corrections): -0.184 hartree per atom

[4]
The following is a PBE with a Hubbard U calculation of HgMoIO2 after structural relaxation, from Alexandria.

a b c (Å): 4.043 4.043 7.319
angles (deg): 90.00 90.00 90.00
Fractional coordinates of all 5 atoms:
Hg1 0.000 0.000 0.000
Mo1 0.500 0.500 0.500
I1 0.500 0.500 0.000
O1 0.000 0.500 0.500
O2 0.500 0.000 0.500

## Properties
* space group: P4/mmm
* total DFT energy (no corrections): -0.160 hartree per atom
* energy relative to the lowest polymorph listed for this composition: 0 meV/atom

What did the second record say?
The following is a PBE with a Hubbard U calculation of HgMoIO2 after structural relaxation, from Alexandria.

a b c (Å): 4.260 4.260 6.682
angles (deg): 90.00 90.00 90.00
Fractional coordinates of all 5 atoms:
Hg1 0.000 0.000 0.000
Mo1 0.500 0.500 0.500
I1 0.000 0.000 0.500
O1 0.000 0.500 0.000
O2 0.500 0.000 0.000

## Properties
* space group: P4/mmm
* total DFT energy (no corrections): -0.117 hartree per atom
* energy relative to the lowest polymorph listed for this composition: 1154 meV/atom

> Which of these has the lowest total DFT energy (no corrections)?

HgMoIO6

> Among the records above, which one has the lowest total DFT energy (no corrections)?

HgMoIO6